Entry 1:
Here is crystalline MgAl2Cr at its relaxed geometry from Alexandria via LeMat-Bulk. Energies are from GGA-PBE.

a = 5.6819 Å, b = 7.9523 Å, c = 2.9016 Å
α = 90.00°, β = 90.00°, γ = 90.00°
Space group Cmmm (No. 65)
Inequivalent atoms, fractional coordinates:
1 Mg 0.0000 0.0000 0.0000 x2
2 Al 0.2500 0.2500 0.5000 x4
3 Cr 0.0000 0.5000 0.0000 x2

Its crystal system is orthorhombic. The energy of formation from the pure elements is 0.08 eV/atom.

Entry 2:
Here is crystalline MgAl2Cr at its relaxed geometry from Alexandria via LeMat-Bulk. Energies are from GGA-PBE.

a = 2.9079 Å, b = 2.9079 Å, c = 26.9867 Å
α = 90.00°, β = 90.00°, γ = 120.00°
Space group R-3m (No. 166, hexagonal axes)
Inequivalent atoms, fractional coordinates:
1 Mg 0.0000 0.0000 0.0000 x3
2 Al 0.0000 0.0000 0.2410 x6
3 Cr 0.0000 0.0000 0.5000 x3

Its crystal system is trigonal. The energy of formation from the pure elements is 0.12 eV/atom.

Entry 3:
Here is crystalline MgAlCr at its relaxed geometry from Alexandria via LeMat-Bulk. Energies are from GGA-PBE.

a = 3.0813 Å, b = 3.0813 Å, c = 10.4890 Å
α = 90.00°, β = 90.00°, γ = 90.00°
Space group I4mm (No. 107)
Inequivalent atoms, fractional coordinates:
1 Mg 0.0000 0.0000 0.0000 x2
2 Al 0.0000 0.0000 0.3066 x2
3 Cr 0.0000 0.0000 0.6742 x2

Its crystal system is tetragonal. The energy of formation from the pure elements is 0.17 eV/atom.

Entry 4:
Here is crystalline MgAl2Cr at its relaxed geometry from Alexandria via LeMat-Bulk. Energies are from GGA-PBE.

a = 2.9530 Å, b = 3.7645 Å, c = 5.8413 Å
α = 90.00°, β = 90.07°, γ = 90.00°
Space group P2/m (No. 10)
Inequivalent atoms, fractional coordinates:
1 Mg 0.0000 0.0000 0.0000 x1
2 Al 0.5002 0.5000 0.2761 x2
3 Cr 0.0000 0.0000 0.5000 x1

Its crystal system is monoclinic. The energy of formation from the pure elements is 0.03 eV/atom.

Entry 5:
Here is crystalline Mg16Al12Cr at its relaxed geometry from Alexandria via LeMat-Bulk. Energies are from GGA-PBE.

a = 10.4853 Å, b = 10.4853 Å, c = 10.4853 Å
α = 90.00°, β = 90.00°, γ = 90.00°
Space group I-43m (No. 217)
Inequivalent atoms, fractional coordinates:
1 Mg 0.0427 0.3568 0.6432 x24
2 Mg 0.1684 0.1684 0.1684 x8
3 Al 0.0900 0.0900 0.7255 x24
4 Cr 0.0000 0.0000 0.0000 x2

Its crystal system is cubic. The energy of formation from the pure elements is 0.01 eV/atom.

Entry 6:
Here is crystalline MgAlCr3 at its relaxed geometry from Alexandria via LeMat-Bulk. Energies are from GGA-PBE.

a = 4.7483 Å, b = 4.7483 Å, c = 4.7483 Å
α = 90.00°, β = 90.00°, γ = 90.00°
Space group Pm-3m (No. 221)
Inequivalent atoms, fractional coordinates:
1 Mg 0.0000 0.0000 0.0000 x1
2 Al 0.5000 0.5000 0.5000 x1
3 Cr 0.0000 0.0000 0.5000 x3

Its crystal system is cubic. The energy of formation from the pure elements is 1.68 eV/atom.